The following is a GGA-PBEsol calculation of an optimized crystal structure of ReIrRh2, from Alexandria via LeMat-Bulk.

The space group is P4/mmm (No. 123) and the conventional cell measures 2.678, 2.678 and 7.723 Å, with angles of 90.00, 90.00 and 90.00 degrees. The asymmetric unit holds Re at (0.000, 0.000, 0.000), Ir at (0.000, 0.000, 0.500) and Rh at (0.500, 0.500, 0.248).

As for the density of states at the Fermi level: 4.13 states/eV/cell. As for the energy of formation from the pure elements: -0.06 eV/atom. The volume comes out at 13.8 Å³/atom. The value obtained for the energy is -0.72861 Ry/atom. For the excess energy over the best structure of this formula in the dataset, the calculation gives 0.25 eV/f.u.